Record 1
Computed, not measured: a PBEsol-optimized structure of ScInHg2 at the meta-GGA SCAN level of DFT.

The structure belongs to space group P4/mmm (No. 123); the cell edges are 3.6653, 3.6653 and 6.4823 Å and the angles 90.00°, 90.00° and 90.00°. The inequivalent atoms are Sc at (0.0000, 0.0000, 0.0000), In at (0.0000, 0.0000, 0.5000) and Hg at (0.5000, 0.5000, 0.2381).

For the energy, the calculation gives -46.292 eV/atom. For the formation energy from the elements, the calculation gives -0.304 eV per atom. For the density of states at the Fermi level, the calculation gives 2.4 states/eV/cell. The spin magnetization is 0.18 μB per cell.

Record 2
Computed, not measured: a PBEsol-optimized structure of LaCo2Cu at the meta-GGA SCAN level of DFT.

The structure belongs to space group R3m (No. 160, hexagonal axes); the cell edges are 4.0165, 4.0165 and 14.6566 Å and the angles 90.00°, 90.00° and 120.00°. The inequivalent atoms are La at (0.0000, 0.0000, 0.0000), Co at (0.0000, 0.0000, 0.1933), Co at (0.0000, 0.0000, 0.5165) and Cu at (0.0000, 0.0000, 0.8038).

For the energy, the calculation gives -23.251 eV/atom. For the formation energy from the elements, the calculation gives -0.022 eV per atom. For the density of states at the Fermi level, the calculation gives 6.7 states/eV/cell. The spin magnetization is 7.36 μB per cell.

Record 3
Computed, not measured: a PBEsol-optimized structure of HgPW2 at the meta-GGA SCAN level of DFT.

The structure belongs to space group C2/m (No. 12); the cell edges are 5.5645, 8.6521 and 2.8510 Å and the angles 90.00°, 110.61° and 90.00°. The inequivalent atoms are Hg at (0.0000, 0.0000, 0.0000), P at (0.0000, 0.5000, 0.0000) and W at (0.2500, 0.2500, 0.5000).

For the energy, the calculation gives -53.552 eV/atom. For the formation energy from the elements, the calculation gives 0.933 eV per atom. For the density of states at the Fermi level, the calculation gives 4.9 states/eV/cell. Its polymorph energy (0 for the lowest one) is 481 meV per atom. The spin magnetization is 0.00 μB per cell.

Record 4
Computed, not measured: a PBEsol-optimized structure of K2ScCo at the meta-GGA SCAN level of DFT.

The structure belongs to space group C2/m (No. 12); the cell edges are 5.7071, 12.4481 and 3.5291 Å and the angles 90.00°, 124.96° and 90.00°. The inequivalent atoms are K at (0.2500, 0.2500, 0.0000), Sc at (0.0000, 0.0000, 0.5000) and Co at (0.0000, 0.5000, 0.5000).

For the energy, the calculation gives -11.109 eV/atom. For the formation energy from the elements, the calculation gives 0.941 eV per atom. For the density of states at the Fermi level, the calculation gives 6.2 states/eV/cell. Its polymorph energy (0 for the lowest one) is 0 meV per atom. The spin magnetization is 2.50 μB per cell.

Record 5
Computed, not measured: a PBEsol-optimized structure of ReNi2Os at the meta-GGA SCAN level of DFT.

The structure belongs to space group Fm-3m (No. 225); the cell edges are 5.8147, 5.8147 and 5.8147 Å and the angles 90.00°, 90.00° and 90.00°. The inequivalent atoms are Re at (0.0000, 0.0000, 0.0000), Ni at (0.2500, 0.2500, 0.2500) and Os at (0.0000, 0.0000, 0.5000).

For the energy, the calculation gives -43.497 eV/atom. For the formation energy from the elements, the calculation gives 0.334 eV per atom. For the density of states at the Fermi level, the calculation gives 19.8 states/eV/cell. Its polymorph energy (0 for the lowest one) is 322 meV per atom. The spin magnetization is 0.00 μB per cell.

Record 6
Computed, not measured: a PBEsol-optimized structure of TaSb2PtI at the meta-GGA SCAN level of DFT.

The structure belongs to space group P4/mmm (No. 123); the cell edges are 5.2902, 5.2902 and 5.1362 Å and the angles 90.00°, 90.00° and 90.00°. The inequivalent atoms are Ta at (0.0000, 0.0000, 0.0000), Sb at (0.0000, 0.5000, 0.0000), Pt at (0.5000, 0.5000, 0.5000) and I at (0.0000, 0.0000, 0.5000).

For the energy, the calculation gives -48.529 eV/atom. For the density of states at the Fermi level, the calculation gives 4.3 states/eV/cell. The spin magnetization is 0.00 μB per cell.

Record 7
Computed, not measured: a PBEsol-optimized structure of Ce3TaO7 at the meta-GGA SCAN level of DFT.

The structure belongs to space group Cmcm (No. 63); the cell edges are 10.8318, 7.3365 and 7.6347 Å and the angles 90.00°, 90.00° and 90.00°. The inequivalent atoms are Ce at (0.0000, 0.0000, 0.0000), Ce at (0.2257, 0.3018, 0.2500), Ta at (0.0000, 0.5000, 0.0000), O at (0.0000, 0.4275, 0.2500), O at (0.1281, 0.3052, 0.5383) and O at (0.1295, 0.0281, 0.2500).

For the energy, the calculation gives -25.745 eV/atom. For the density of states at the Fermi level, the calculation gives 31.9 states/eV/cell. The spin magnetization is 12.03 μB per cell.

Record 8
Computed, not measured: a PBEsol-optimized structure of La2Ga12Pd at the meta-GGA SCAN level of DFT.

The structure belongs to space group P4/nbm (No. 125, origin choice 2); the cell edges are 6.0701, 6.0701 and 15.4535 Å and the angles 90.00°, 90.00° and 90.00°. The inequivalent atoms are La at (0.2500, 0.7500, 0.2459), Ga at (0.0003, 0.9997, 0.0881), Ga at (0.0749, 0.5749, 0.4299), Ga at (0.2500, 0.2500, 0.1844), Ga at (0.2500, 0.2500, 0.3432) and Pd at (0.2500, 0.7500, 0.0000).

For the energy, the calculation gives -21.544 eV/atom. For the formation energy from the elements, the calculation gives -0.535 eV per atom. For the density of states at the Fermi level, the calculation gives 7.5 states/eV/cell. The spin magnetization is 0.00 μB per cell.

Record 9
Computed, not measured: a PBEsol-optimized structure of BeAuCl2 at the meta-GGA SCAN level of DFT.

The structure belongs to space group Cm (No. 8); the cell edges are 10.4198, 2.9338 and 6.8407 Å and the angles 90.00°, 122.36° and 90.00°. The inequivalent atoms are Be at (0.0000, 0.0000, 0.0000), Au at (0.2681, 0.0000, 0.8285), Cl at (0.0200, 0.5000, 0.7642) and Cl at (0.0921, 0.5000, 0.2545).

For the energy, the calculation gives -22.852 eV/atom. For the density of states at the Fermi level, the calculation gives 1.5 states/eV/cell. Its polymorph energy (0 for the lowest one) is 203 meV per atom. The spin magnetization is 0.00 μB per cell.

Record 10
Computed, not measured: a PBEsol-optimized structure of CdCo2Si at the meta-GGA SCAN level of DFT.

The structure belongs to space group Pmm2 (No. 25); the cell edges are 2.6949, 3.2995 and 5.9871 Å and the angles 90.00°, 90.00° and 90.00°. The inequivalent atoms are Cd at (0.0000, 0.0000, 0.0000), Co at (0.0000, 0.0000, 0.4990), Co at (0.5000, 0.5000, 0.2733) and Si at (0.5000, 0.5000, 0.6547).

For the energy, the calculation gives -18.529 eV/atom. For the density of states at the Fermi level, the calculation gives 3.0 states/eV/cell. Its polymorph energy (0 for the lowest one) is 110 meV per atom. The spin magnetization is 2.64 μB per cell.

Record 11
Computed, not measured: a PBEsol-optimized structure of Sr2MnHg at the meta-GGA SCAN level of DFT.

The structure belongs to space group P4mm (No. 99); the cell edges are 3.7343, 3.7343 and 8.8563 Å and the angles 90.00°, 90.00° and 90.00°. The inequivalent atoms are Sr at (0.0000, 0.0000, 0.0000), Sr at (0.5000, 0.5000, 0.3862), Mn at (0.5000, 0.5000, 0.7487) and Hg at (0.0000, 0.0000, 0.6288).

For the energy, the calculation gives -32.888 eV/atom. For the formation energy from the elements, the calculation gives -0.145 eV per atom. For the density of states at the Fermi level, the calculation gives 1.9 states/eV/cell. The spin magnetization is 4.38 μB per cell.

Record 12
Computed, not measured: a PBEsol-optimized structure of Hf6CoSb2 at the meta-GGA SCAN level of DFT.

The structure belongs to space group P-62m (No. 189); the cell edges are 7.6546, 7.6546 and 3.5212 Å and the angles 90.00°, 90.00° and 120.00°. The inequivalent atoms are Hf at (0.0000, 0.3969, 0.0000), Hf at (0.0000, 0.7602, 0.5000), Co at (0.0000, 0.0000, 0.0000) and Sb at (0.3333, 0.6667, 0.5000).

For the energy, the calculation gives -52.507 eV/atom. For the density of states at the Fermi level, the calculation gives 5.1 states/eV/cell. The spin magnetization is 0.00 μB per cell.

no.,volume (A^3/atom)
1,21.77
2,17.06
3,16.06
4,25.68
5,12.29
6,28.75
7,13.79
8,18.98
9,22.08
10,13.31
11,30.88
12,19.85